# Li2VO3F

A relaxed Li2VO3F crystal (PBE+U, the Alexandria database).

- DFT total energy (eV for the cell shown) = -173.0
- total moment (μB/cell) = 0.0

abc: 7.2326 7.1575 7.1374
angles: 109.33 108.47 110.74
Last column: nearest neighbours and their distance in Å.
Sites, in units of the cell vectors:
F 0.2152 0.7529 0.2354  2 Li 1.92-1.98, 1 V 2.00
V 0.2731 0.2795 0.2671  2 O 1.69-1.76
O 0.9858 0.9966 0.2156  3 V 1.94-2.17
Li 0.9924 0.2602 0.5086  6 O 2.04-2.28
Li 0.4844 0.4831 0.7513  2 F 1.99-2.01, 3 O 2.07-2.15
V 0.7550 0.0253 0.0173  2 O 1.70-1.76
V 0.0202 0.0256 0.7457  2 O 1.68-1.74
Li 0.4692 0.7637 0.4618  1 F 1.98, 4 O 2.05-2.20
F 0.4651 0.2429 0.4878  1 V 1.90, 2 Li 1.96-2.01
Li 0.7073 0.2332 0.6997  1 F 1.96, 4 O 2.09-2.19
O 0.2382 0.2334 0.7610  1 V 1.68
O 0.0094 0.2255 0.0031  3 V 1.95-2.01
O 0.2457 0.4723 0.4700  1 V 1.76
O 0.2193 0.9991 0.9967  3 V 2.03-2.09, 2 Li 2.17-2.20
O 0.5427 0.9892 0.7785  1 V 1.76
O 0.9986 0.5228 0.7696  1 V 1.71
V 0.9711 0.7102 0.9653  3 O 1.71-1.84
O 0.4744 0.4674 0.2443  1 V 1.69
Li 0.5131 0.2472 0.0057  6 O 2.07-2.20
Li 0.7328 0.7374 0.2469  2 F 2.02-2.24, 4 O 2.07-2.23
F 0.5242 0.7550 0.9949  1 V 1.97, 3 Li 1.99-2.07
F 0.0121 0.7661 0.5292  1 V 1.95, 2 Li 1.96-2.10
Li 0.0042 0.5378 0.2760  2 F 1.92-1.96, 2 O 2.05-2.10
O 0.7640 0.5168 0.9974  1 V 1.78
O 0.7696 0.2378 0.2296  1 V 1.70
O 0.7859 0.9940 0.5372  1 V 1.74
O 0.7808 0.7655 0.7804  1 V 1.84
Li 0.2608 0.7519 0.7658  3 O 2.04-2.17, 2 F 2.07-2.10